A relaxed CaLaNdEu crystal, computed with GGA-PBE.

It has space group F-43m (No. 216), with a = 8.515 Å, b = 8.515 Å, c = 8.515 Å, α = 90.00°, β = 90.00° and γ = 90.00°. The inequivalent atoms are Ca at (0.000, 0.000, 0.000), La at (0.250, 0.250, 0.750), Nd at (0.250, 0.250, 0.250) and Eu at (0.000, 0.000, 0.500).

As for the volume: 617.5 Å³/cell. As for the formation energy: 45 kJ/mol of formula units. For the final energy, the calculation gives -86.04 eV/cell. The value obtained for the density of states at the Fermi level is 22.04 states/eV per cell.